# 1
Compound: LiCoNi2
Source: Alexandria via LeMat-Bulk
Functional: PBE-GGA
Structure: relaxed

Computed properties:
Crystal system: monoclinic
Space-group type: C2/m, No. 12
Theoretical density in g cm⁻³: 6.89
DFT formation energy in meV/atom: 55
Volume in Å³ per cell: 44

Unit cell a=4.312 b=4.312 c=4.407 alpha=97.49 beta=97.49 gamma=32.96
Positions (direct):
1 Li 0.000 0.000 0.000
2 Co 0.500 0.500 0.500
3 Ni 0.244 0.244 0.743
4 Ni 0.756 0.756 0.257

# 2
Compound: LiCoNi2
Source: Alexandria via LeMat-Bulk
Functional: PBE-GGA
Structure: relaxed

Computed properties:
Crystal system: tetragonal
Space-group type: P4mm, No. 99
Theoretical density in g cm⁻³: 6.68
DFT formation energy in meV/atom: 83
Volume in Å³ per cell: 46

Unit cell a=2.455 b=2.455 c=7.563 alpha=90.00 beta=90.00 gamma=90.00
Positions (direct):
1 Li 0.000 0.000 0.000
2 Co 0.500 0.500 0.726
3 Ni 0.000 0.000 0.494
4 Ni 0.500 0.500 0.258

# 3
Compound: LiCoNi3
Source: Alexandria via LeMat-Bulk
Functional: PBE-GGA
Structure: relaxed

Computed properties:
Crystal system: triclinic
Space-group type: P-1, No. 2
Theoretical density in g cm⁻³: 7.30
Energy relative to the lowest polymorph listed for this composition in meV per atom: 0
DFT formation energy in meV/atom: 29
Volume in Å³ per cell: 110

Unit cell a=2.464 b=5.995 c=7.814 alpha=104.75 beta=99.00 gamma=90.24
Positions (direct):
1 Li 0.116 0.019 0.235
2 Li 0.884 0.981 0.765
3 Co 0.083 0.577 0.163
4 Co 0.917 0.423 0.837
5 Ni 0.282 0.184 0.563
6 Ni 0.316 0.607 0.633
7 Ni 0.486 0.779 0.968
8 Ni 0.514 0.221 0.032
9 Ni 0.684 0.393 0.367
10 Ni 0.718 0.816 0.437

# 4
Compound: LiCoNi2
Source: Alexandria via LeMat-Bulk
Functional: PBE-GGA
Structure: relaxed

Computed properties:
Crystal system: orthorhombic
Space-group type: Cmmm, No. 65
Theoretical density in g cm⁻³: 6.73
DFT formation energy in meV/atom: 68
Volume in Å³ per cell: 45

Unit cell a=2.446 b=2.446 c=8.393 alpha=90.00 beta=90.00 gamma=115.76
Positions (direct):
1 Li 0.000 0.000 0.000
2 Co 0.000 0.000 0.500
3 Ni 0.500 0.500 0.255
4 Ni 0.500 0.500 0.745

# 5
Compound: LiCoNi2
Source: Alexandria via LeMat-Bulk
Functional: PBE-GGA
Structure: relaxed

Computed properties:
Crystal system: orthorhombic
Space-group type: Pmmm, No. 47
Theoretical density in g cm⁻³: 6.92
DFT formation energy in meV/atom: 114
Volume in Å³ per cell: 44

Unit cell a=2.536 b=4.137 c=4.194 alpha=90.00 beta=90.00 gamma=90.00
Positions (direct):
1 Li 0.000 0.000 0.000
2 Co 0.500 0.000 0.500
3 Ni 0.000 0.500 0.500
4 Ni 0.500 0.500 0.000

# 6
Compound: Li2Co2Ni
Source: Alexandria via LeMat-Bulk
Functional: PBE-GGA
Structure: relaxed

Computed properties:
Crystal system: tetragonal
Space-group type: P4/mbm, No. 127
Theoretical density in g cm⁻³: 5.42
DFT formation energy in meV/atom: 423
Volume in Å³ per cell: 117

Unit cell a=6.695 b=6.695 c=2.605 alpha=90.00 beta=90.00 gamma=90.00
Positions (direct):
1 Li 0.183 0.317 0.000
2 Li 0.317 0.817 0.000
3 Li 0.683 0.183 0.000
4 Li 0.817 0.683 0.000
5 Co 0.115 0.615 0.500
6 Co 0.385 0.115 0.500
7 Co 0.615 0.885 0.500
8 Co 0.885 0.385 0.500
9 Ni 0.000 0.000 0.500
10 Ni 0.500 0.500 0.500

# 7
Compound: LiCo2Ni8
Source: Alexandria via LeMat-Bulk
Functional: PBE-GGA
Structure: relaxed

Computed properties:
Crystal system: monoclinic
Space-group type: C2/m, No. 12
Theoretical density in g cm⁻³: 8.24
DFT formation energy in meV/atom: 4
Volume in Å³ per cell: 120

Unit cell a=6.583 b=6.583 c=5.545 alpha=104.43 beta=104.43 gamma=31.08
Positions (direct):
1 Li 0.000 0.000 0.000
2 Co 0.271 0.271 0.363
3 Co 0.729 0.729 0.637
4 Ni 0.092 0.092 0.459
5 Ni 0.183 0.183 0.911
6 Ni 0.362 0.362 0.814
7 Ni 0.453 0.453 0.275
8 Ni 0.547 0.547 0.725
9 Ni 0.638 0.638 0.186
10 Ni 0.817 0.817 0.089
11 Ni 0.908 0.908 0.541

# 8
Compound: LiCo2Ni
Source: Alexandria via LeMat-Bulk
Functional: PBE-GGA
Structure: relaxed

Computed properties:
Crystal system: orthorhombic
Space-group type: Pmm2, No. 25
Theoretical density in g cm⁻³: 6.89
DFT formation energy in meV/atom: 100
Volume in Å³ per cell: 44

Unit cell a=2.443 b=3.634 c=4.979 alpha=90.00 beta=90.00 gamma=90.00
Positions (direct):
1 Li 0.000 0.000 0.000
2 Co 0.000 0.000 0.502
3 Co 0.500 0.500 0.731
4 Ni 0.500 0.500 0.242